[1]
Below is a relaxed InAg2MoPd crystal, with properties calculated at the PBE-GGA level.

Summary:
DFT total energy, eV per atom: -3.6792
N(E_F), states/eV per atom: 1.094
Theoretical density, Mg/m³: 6.842

Cell lengths 5.2026, 5.2026, 4.7783 Å; angles 90.00, 90.00, 90.00 degrees
Last column: nearest neighbours and their distance in Å.
Space group P4/mmm (No. 123)
Asymmetric unit:
In (0.0000, 0.0000, 0.0000) [1 per cell]  8 Ag 3.53, 4 Pd 3.68
Ag (0.0000, 0.5000, 0.5000) [2 per cell]  2 Mo 2.60
Mo (0.5000, 0.5000, 0.5000) [1 per cell]  2 Pd 2.39, 4 Ag 2.60
Pd (0.5000, 0.5000, 0.0000) [1 per cell]  2 Mo 2.39

[2]
Below is a relaxed In2AgSbMo crystal, with properties calculated at the PBE-GGA level.

Summary:
DFT total energy, eV per atom: -4.1148
Formation energy without anion corrections, eV per atom: 0.541
N(E_F), states/eV per atom: 0.655
Theoretical density, Mg/m³: 6.330

Cell lengths 5.3387, 5.3387, 5.1098 Å; angles 90.00, 90.00, 90.00 degrees
Last column: nearest neighbours and their distance in Å.
Space group P4/mmm (No. 123)
Asymmetric unit:
In (0.0000, 0.5000, 0.0000) [2 per cell]  2 Mo 2.67
Ag (0.0000, 0.0000, 0.5000) [1 per cell]  8 In 3.69, 4 Sb 3.78
Sb (0.5000, 0.5000, 0.5000) [1 per cell]  2 Mo 2.55
Mo (0.5000, 0.5000, 0.0000) [1 per cell]  2 Sb 2.55, 4 In 2.67

[3]
Below is a relaxed InAgN crystal, with properties calculated at the PBE-GGA level.

Summary:
DFT total energy, eV per atom: -4.5248
Formation energy without anion corrections, eV per atom: 0.114
N(E_F), states/eV per atom: 0.240
Theoretical density, Mg/m³: 5.146
Excess energy over the best structure of this formula in the dataset, eV per formula unit: 0.00

Cell lengths 4.5215, 4.4911, 15.1173 Å; angles 90.00, 95.62, 90.00 degrees
Last column: nearest neighbours and their distance in Å.
Space group C2/m (No. 12)
Asymmetric unit:
In (0.1859, 0.0000, 0.2996) [4 per cell]  4 Ag 3.08-3.10, 4 In 3.19
Ag (0.2304, 0.5000, 0.4396) [4 per cell]  8 Ag 2.89-3.19, 4 In 3.08-3.10
N (0.0200, 0.5000, 0.0369) [4 per cell]  1 N 1.11